5
Lattice="5.871 0.000 0.000 0.000 5.871 0.000 0.000 0.000 5.871" Properties=species:S:1:pos:R:3 comment="Na3WO, optimized geometry, DFT PBE+U" e_above_lowest_polymorph_ev_per_atom=1.087 dft_energy_ev_per_fu=-10.3 spacegroup="Pm-3m, No. 221" pbc="T T T"
Na 0.000 2.936 0.000
Na 0.000 0.000 2.936
Na 2.936 0.000 0.000
O 2.936 2.936 2.936
W 0.000 0.000 0.000